(1)
The following is a DFT calculation (GGA-PBE) of a geometry-optimized LiLa2Hg8 structure.

Output
N(E_F): 5.8 states/eV per cell
Calculated density: 11.21 g/cm3
Space-group type: C2/m
Crystal system: monoclinic
VASP energy: -1.65 eV/atom
Spin magnetization: 0.0 μB per formula unit

Cell lengths 8.6381, 8.6381, 7.1980 Å; angles 113.06, 113.06, 34.87 degrees
Sites, in units of the cell vectors:
Li 0.0000 0.0000 0.0000
La 0.2975 0.2975 0.3035
La 0.7025 0.7025 0.6965
Hg 0.1197 0.1197 0.4053
Hg 0.1291 0.1291 0.8518
Hg 0.3394 0.3394 0.8412
Hg 0.4983 0.4983 0.2762
Hg 0.5017 0.5017 0.7238
Hg 0.6606 0.6606 0.1588
Hg 0.8709 0.8709 0.1482
Hg 0.8803 0.8803 0.5947

---

(2)
The following is a DFT calculation (GGA-PBE) of a geometry-optimized Li2La3Hg4 structure.

Output
N(E_F): 7.0 states/eV per cell
Energy relative to the lowest polymorph listed for this composition: 0 meV/atom
Calculated density: 8.82 g/cm3
Space-group type: C2/m
Crystal system: monoclinic
VASP energy: -2.62 eV/atom
Spin magnetization: 0.0 μB per formula unit

Cell lengths 6.1643, 6.1643, 9.4177 Å; angles 116.61, 116.61, 48.10 degrees
Sites, in units of the cell vectors:
Li 0.1317 0.1317 0.2998
Li 0.8683 0.8683 0.7002
La 0.1566 0.1566 0.6726
La 0.5000 0.5000 0.0000
La 0.8434 0.8434 0.3274
Hg 0.2135 0.2135 0.0645
Hg 0.4255 0.4255 0.6064
Hg 0.5745 0.5745 0.3936
Hg 0.7865 0.7865 0.9355

---

Q: Number 1 is which compound?
A: LiLa2Hg8